(1)
Here is PmAl6Ni3 after structural relaxation from Alexandria via LeMat-Bulk. Energies are from GGA-PBE.

Unit cell a=4.0445 b=7.5266 c=10.5846 alpha=80.18 beta=90.00 gamma=90.00
With the nearest neighbours (Å) after each atom.
Atoms (fractional coordinates):
Pm 0.7500 0.0510 0.7651  3 Ni 2.85-3.01
Pm 0.2500 0.9490 0.2349  3 Ni 2.85-3.01
Al 0.7500 0.3966 0.5372  2 Ni 2.38, 2 Al 2.59
Al 0.2500 0.6034 0.4628  2 Ni 2.38, 2 Al 2.59
Al 0.7500 0.7473 0.0276  5 Ni 2.42-2.57, 1 Al 2.62
Al 0.2500 0.2527 0.9724  5 Ni 2.42-2.57, 1 Al 2.62
Al 0.7500 0.3315 0.1372  3 Ni 2.35-2.60
Al 0.2500 0.6685 0.8628  3 Ni 2.35-2.60
Al 0.7500 0.6106 0.2726  3 Ni 2.50-2.72, 2 Al 2.62-2.74
Al 0.2500 0.3894 0.7274  3 Ni 2.50-2.72, 2 Al 2.62-2.74
Al 0.7500 0.1013 0.4298  3 Ni 2.46-2.60, 1 Al 2.66
Al 0.2500 0.8987 0.5702  3 Ni 2.46-2.60, 1 Al 2.66
Al 0.7500 0.6580 0.6867  2 Ni 2.39-2.42
Al 0.2500 0.3420 0.3133  2 Ni 2.39-2.42
Ni 0.7500 0.4482 0.8870  6 Al 2.42-2.64
Ni 0.2500 0.5518 0.1130  6 Al 2.42-2.64
Ni 0.7500 0.7699 0.4614  7 Al 2.38-2.60
Ni 0.2500 0.2301 0.5386  7 Al 2.38-2.60
Ni 0.7500 0.0824 0.0297  4 Al 2.35-2.53, 2 Ni 2.51
Ni 0.2500 0.9176 0.9703  4 Al 2.35-2.53, 2 Ni 2.51

Summary:
The calculated formation energy is -473 meV per atom. The space-group type is P2_1/m, No. 11.



(2)
Here is GeAs2PbBr after structural relaxation from Alexandria via LeMat-Bulk. Energies are from GGA-PBE.

Unit cell a=5.4593 b=5.4593 c=5.5923 alpha=90.00 beta=90.00 gamma=90.00
With the nearest neighbours (Å) after each atom.
Atoms (fractional coordinates):
Pb 0.0000 0.0000 0.0000  4 As 2.73, 2 Br 2.80
As 0.0000 0.5000 0.0000  2 Pb 2.73
As 0.5000 0.0000 0.0000  2 Pb 2.73
Ge 0.5000 0.5000 0.5000  4 Br 3.86, 8 As 3.91
Br 0.0000 0.0000 0.5000  2 Pb 2.80

Summary:
The uncorrected formation energy is 0.875 eV per atom. The space-group type is P4/mmm, No. 123. For the energy relative to the lowest polymorph listed for this composition, the calculation gives 553.7 meV per atom.



(3)
Here is CaDyMgAg after structural relaxation from Alexandria via LeMat-Bulk. Energies are from GGA-PBE.

Unit cell a=5.3026 b=5.3026 c=5.3026 alpha=60.00 beta=60.00 gamma=60.00
With the nearest neighbours (Å) after each atom.
Atoms (fractional coordinates):
Ca 0.5000 0.5000 0.5000  4 Mg 3.25, 4 Ag 3.25
Mg 0.7500 0.7500 0.7500  4 Dy 3.25, 4 Ca 3.25
Ag 0.2500 0.2500 0.2500  4 Dy 3.25, 4 Ca 3.25
Dy 0.0000 0.0000 0.0000  4 Mg 3.25, 4 Ag 3.25

Summary:
The calculated formation energy is -135 meV per atom. The space-group type is F-43m, No. 216. For the energy relative to the lowest polymorph listed for this composition, the calculation gives 57.1 meV per atom.



(4)
Here is Dy2ZnGa3Cu4 after structural relaxation from Alexandria via LeMat-Bulk. Energies are from GGA-PBE.

Unit cell a=4.1103 b=4.1103 c=10.1707 alpha=90.00 beta=90.00 gamma=90.00
With the nearest neighbours (Å) after each atom.
Atoms (fractional coordinates):
Dy 0.5000 0.0000 0.2466  6 Ga 3.14-3.30, 8 Cu 3.14-3.24, 2 Zn 3.30
Dy 0.0000 0.5000 0.7534  6 Ga 3.14-3.30, 8 Cu 3.14-3.24, 2 Zn 3.30
Zn 0.5000 0.5000 0.5000  4 Cu 2.47
Ga 0.0000 0.0000 0.5000  4 Cu 2.47
Ga 0.5000 0.0000 0.8690  5 Cu 2.38-2.45
Ga 0.0000 0.5000 0.1310  5 Cu 2.38-2.45
Cu 0.5000 0.5000 0.0000  4 Ga 2.45
Cu 0.0000 0.0000 0.0000  4 Ga 2.45
Cu 0.5000 0.0000 0.6353  3 Ga 2.38-2.47, 2 Zn 2.47
Cu 0.0000 0.5000 0.3647  3 Ga 2.38-2.47, 2 Zn 2.47

Summary:
The calculated formation energy is -389 meV per atom. The space-group type is P-4m2, No. 115.



(5)
Here is Dy2Ni12P3Rh after structural relaxation from Alexandria via LeMat-Bulk. Energies are from GGA-PBE.

Unit cell a=6.2519 b=6.2519 c=6.2519 alpha=85.81 beta=85.81 gamma=85.81
With the nearest neighbours (Å) after each atom.
Atoms (fractional coordinates):
Dy 0.7044 0.7044 0.7044  6 Ni 2.55-2.71
Dy 0.2956 0.2956 0.2956  6 Ni 2.55-2.71
Ni 0.3965 0.3965 0.8739  2 Ni 2.34-2.58, 2 P 2.60
Ni 0.8126 0.8126 0.3118  1 P 2.18, 1 Ni 2.34
Ni 0.3118 0.8126 0.8126  1 P 2.18, 1 Ni 2.34
Ni 0.8739 0.3965 0.3965  2 Ni 2.34-2.58, 2 P 2.60
Ni 0.8126 0.3118 0.8126  1 P 2.18, 1 Ni 2.34
Ni 0.3965 0.8739 0.3965  2 Ni 2.34-2.58, 2 P 2.60
Ni 0.6035 0.6035 0.1261  2 Ni 2.34-2.58, 2 P 2.60
Ni 0.1874 0.1874 0.6882  1 P 2.18, 1 Ni 2.34
Ni 0.6882 0.1874 0.1874  1 P 2.18, 1 Ni 2.34
Ni 0.1261 0.6035 0.6035  2 Ni 2.34-2.58, 2 P 2.60
Ni 0.1874 0.6882 0.1874  1 P 2.18, 1 Ni 2.34
Ni 0.6035 0.1261 0.6035  2 Ni 2.34-2.58, 2 P 2.60
P 0.5000 0.0000 0.0000  2 Ni 2.18
P 0.0000 0.5000 0.0000  2 Ni 2.18
P 0.0000 0.0000 0.5000  2 Ni 2.18
Rh 0.0000 0.0000 0.0000  6 Ni 2.47

Summary:
The calculated formation energy is -69 meV per atom. The space-group type is R-3m, No. 166.



(6)
Here is Be5ZnPt6 after structural relaxation from Alexandria via LeMat-Bulk. Energies are from GGA-PBE.

Unit cell a=3.9604 b=6.1902 c=7.0064 alpha=116.22 beta=106.42 gamma=90.00
With the nearest neighbours (Å) after each atom.
Atoms (fractional coordinates):
Be 0.6647 0.1647 0.3293  8 Pt 2.47-2.58
Be 0.3282 0.3282 0.6564  8 Pt 2.47-2.50
Be 0.0000 0.5000 0.0000  8 Pt 2.44-2.51
Be 0.6718 0.6718 0.3436  8 Pt 2.47-2.50
Be 0.3353 0.8353 0.6707  8 Pt 2.47-2.58
Zn 0.0000 0.0000 0.0000  8 Pt 2.59, 4 Be 2.79
Pt 0.8301 0.5688 0.6601  7 Be 2.47-2.56, 1 Zn 2.59, 2 Pt 2.76
Pt 0.8301 0.0913 0.6601  7 Be 2.47-2.56, 1 Zn 2.59, 2 Pt 2.76
Pt 0.5000 0.7304 0.0000  6 Be 2.44-2.58, 2 Zn 2.59
Pt 0.5000 0.2696 0.0000  6 Be 2.44-2.58, 2 Zn 2.59
Pt 0.1699 0.9087 0.3399  7 Be 2.47-2.56, 1 Zn 2.59, 2 Pt 2.76
Pt 0.1699 0.4312 0.3399  7 Be 2.47-2.56, 1 Zn 2.59, 2 Pt 2.76

Summary:
The calculated formation energy is -688 meV per atom. The space-group type is Immm, No. 71.



(7)
Here is IrOs2Pt after structural relaxation from Alexandria via LeMat-Bulk. Energies are from GGA-PBE.

Unit cell a=9.1561 b=9.1561 c=9.1561 alpha=17.26 beta=17.26 gamma=17.26
With the nearest neighbours (Å) after each atom.
Atoms (fractional coordinates):
Ir 0.7466 0.7466 0.7466  3 Os 2.70, 6 Ir 2.75, 3 Pt 2.85
Os 0.9991 0.9991 0.9991  9 Os 2.66-2.75, 3 Ir 2.70
Os 0.2537 0.2537 0.2537  9 Os 2.66-2.75, 3 Pt 2.83
Pt 0.5006 0.5006 0.5006  6 Pt 2.75, 3 Os 2.83, 3 Ir 2.85

Summary:
The calculated formation energy is 76 meV per atom. The space-group type is R3m, No. 160. For the energy relative to the lowest polymorph listed for this composition, the calculation gives 11.3 meV per atom.



(8)
Here is La5Hg2Os after structural relaxation from Alexandria via LeMat-Bulk. Energies are from GGA-PBE.

Unit cell a=4.8644 b=8.3526 c=12.2624 alpha=90.00 beta=90.00 gamma=90.00
With the nearest neighbours (Å) after each atom.
Atoms (fractional coordinates):
La 0.0000 0.0000 0.5000  4 Hg 3.24
La 0.0000 0.5000 0.0000  4 Hg 3.24
La 0.0000 0.8575 0.2000  1 Os 2.73
La 0.0000 0.1425 0.8000  1 Os 2.73
La 0.0000 0.6425 0.7000  1 Os 2.73
La 0.0000 0.3575 0.3000  1 Os 2.73
La 0.5000 0.6823 0.4283  2 Os 3.00, 1 Hg 3.32
La 0.5000 0.3177 0.5717  2 Os 3.00, 1 Hg 3.32
La 0.5000 0.8177 0.9283  2 Os 3.00, 1 Hg 3.32
La 0.5000 0.1823 0.0717  2 Os 3.00, 1 Hg 3.32
Hg 0.5000 0.5728 0.1680  9 La 3.24-3.58
Hg 0.5000 0.4272 0.8320  9 La 3.24-3.58
Hg 0.5000 0.9272 0.6680  9 La 3.24-3.58
Hg 0.5000 0.0728 0.3320  9 La 3.24-3.58
Os 0.0000 0.5000 0.5000  6 La 2.73-3.00
Os 0.0000 0.0000 0.0000  6 La 2.73-3.00

Summary:
The calculated formation energy is -348 meV per atom. The space-group type is Pbam, No. 55.



(9)
Here is BeIn2Co after structural relaxation from Alexandria via LeMat-Bulk. Energies are from GGA-PBE.

Unit cell a=7.1142 b=7.1142 c=5.7776 alpha=52.00 beta=52.00 gamma=90.00
With the nearest neighbours (Å) after each atom.
Atoms (fractional coordinates):
Be 0.5000 0.5000 0.0000  4 In 2.56, 2 Co 2.84
Be 0.2500 0.7500 0.5000  4 In 2.56, 2 Co 2.84
Co 0.0000 0.0000 0.0000  4 In 2.67, 2 Be 2.84
Co 0.7500 0.2500 0.5000  4 In 2.67, 2 Be 2.84
In 0.6136 0.1250 0.2500  2 Be 2.56, 2 Co 2.67, 2 In 2.85
In 0.1364 0.6250 0.2500  2 Be 2.56, 2 Co 2.67, 2 In 2.85
In 0.3750 0.3864 0.7500  2 Be 2.56, 2 Co 2.67, 2 In 2.85
In 0.8750 0.8636 0.7500  2 Be 2.56, 2 Co 2.67, 2 In 2.85

Summary:
The calculated formation energy is 699 meV per atom. The space-group type is I-42d, No. 122.



(10)
Here is Nd3PSeCl after structural relaxation from Alexandria via LeMat-Bulk. Energies are from GGA-PBE.

Unit cell a=4.1128 b=8.5354 c=10.1638 alpha=92.54 beta=90.00 gamma=90.00
With the nearest neighbours (Å) after each atom.
Atoms (fractional coordinates):
Nd 0.7500 0.8665 0.1330  1 Cl 2.85, 2 P 2.89, 3 Se 2.98-3.03
Nd 0.2500 0.1335 0.8670  1 Cl 2.85, 2 P 2.89, 3 Se 2.98-3.03
Nd 0.2500 0.6575 0.4198  2 Cl 2.82, 1 P 2.83
Nd 0.7500 0.3425 0.5802  2 Cl 2.82, 1 P 2.83
Nd 0.7500 0.3882 0.1424  3 P 2.88-2.91, 2 Se 3.04
Nd 0.2500 0.6118 0.8576  3 P 2.88-2.91, 2 Se 3.04
P 0.2500 0.6291 0.1416  6 Nd 2.83-2.91
P 0.7500 0.3709 0.8584  6 Nd 2.83-2.91
Se 0.2500 0.1273 0.1598  5 Nd 2.98-3.04
Se 0.7500 0.8727 0.8402  5 Nd 2.98-3.04
Cl 0.2500 0.1173 0.5862  3 Nd 2.82-2.85
Cl 0.7500 0.8827 0.4138  3 Nd 2.82-2.85

Summary:
The uncorrected formation energy is -1.548 eV per atom. The space-group type is P2_1/m, No. 11.



(11)
Here is ScV2I after structural relaxation from Alexandria via LeMat-Bulk. Energies are from GGA-PBE.

Unit cell a=3.9615 b=3.9615 c=10.1924 alpha=78.79 beta=78.79 gamma=90.00
With the nearest neighbours (Å) after each atom.
Atoms (fractional coordinates):
I 0.0000 0.0000 0.0000  4 V 2.79, 4 Sc 2.80
I 0.7500 0.2500 0.5000  4 V 2.79, 4 Sc 2.80
Sc 0.5000 0.5000 0.0000  4 I 2.80, 4 V 2.85
Sc 0.2500 0.7500 0.5000  4 I 2.80, 4 V 2.85
V 0.6467 0.1250 0.2500  4 V 2.68-2.93, 2 I 2.79, 2 Sc 2.85
V 0.1033 0.6250 0.2500  4 V 2.68-2.93, 2 I 2.79, 2 Sc 2.85
V 0.3750 0.3533 0.7500  4 V 2.68-2.93, 2 I 2.79, 2 Sc 2.85
V 0.8750 0.8967 0.7500  4 V 2.68-2.93, 2 I 2.79, 2 Sc 2.85

Summary:
The uncorrected formation energy is 0.640 eV per atom. The space-group type is I-42d, No. 122. For the energy relative to the lowest polymorph listed for this composition, the calculation gives 0.0 meV per atom.



(12)
Here is FeW3C after structural relaxation from Alexandria via LeMat-Bulk. Energies are from GGA-PBE.

Unit cell a=4.0953 b=4.0953 c=4.0953 alpha=90.00 beta=90.00 gamma=90.00
With the nearest neighbours (Å) after each atom.
Atoms (fractional coordinates):
C 0.0000 0.0000 0.0000  6 W 2.05
Fe 0.5000 0.5000 0.5000  12 W 2.90
W 0.0000 0.5000 0.0000  2 C 2.05
W 0.0000 0.0000 0.5000  2 C 2.05
W 0.5000 0.0000 0.0000  2 C 2.05

Summary:
The calculated formation energy is 370 meV per atom. The space-group type is Pm-3m, No. 221. For the energy relative to the lowest polymorph listed for this composition, the calculation gives 0.0 meV per atom.



| no. | calculated total energy (eV/f.u.) | total magnetization (μB/f.u.) |
| --- | --- | --- |
| 1 | -49.3 | 0.00 |
| 2 | -14.9 | 0.68 |
| 3 | -11.6 | 0.00 |
| 4 | -39.8 | 0.00 |
| 5 | -103.4 | 0.02 |
| 6 | -64.4 | 0.00 |
| 7 | -37.1 | 0.00 |
| 8 | -39.3 | 0.00 |
| 9 | -13.5 | 1.03 |
| 10 | -34.3 | 0.85 |
| 11 | -23.6 | 0.00 |
| 12 | -54.7 | 0.00 |